PBE BaTi3O, optimized geometry; space-group type = No. 221; total DFT energy (no corrections) = -6.38 eV/atom; mass density = 5.722 g/cm³; N(E_F) = 2.9 states/eV per cell; polymorph energy (0 for the lowest one) = 0.0000 eV/atom; total moment = 0.0 μB/cell; crystal system = cubic
1.0
4.417 0.000 0.000
0.000 4.417 0.000
0.000 0.000 4.417
Ba Ti O
1 3 1
Cartesian
0.000 0.000 0.000
0.000 2.208 2.208
2.208 0.000 2.208
2.208 2.208 0.000
2.208 2.208 2.208


PBE K2ScBeCd, optimized geometry; space-group type = No. 123; total DFT energy (no corrections) = -1.61 eV/atom; mass density = 1.781 g/cm³; N(E_F) = 4.5 states/eV per cell; total moment = 0.0 μB/cell; crystal system = tetragonal
1.0
6.377 0.000 0.000
0.000 6.377 0.000
0.000 0.000 5.607
K Sc Be Cd
2 1 1 1
Cartesian
0.000 3.188 0.000
3.188 0.000 0.000
0.000 0.000 2.803
3.188 3.188 2.803
0.000 0.000 0.000


What did the first record say?
PBE BaTi3O, optimized geometry; space-group type = No. 221; total DFT energy (no corrections) = -6.38 eV/atom; mass density = 5.722 g/cm³; N(E_F) = 2.9 states/eV per cell; polymorph energy (0 for the lowest one) = 0.0000 eV/atom; total moment = 0.0 μB/cell; crystal system = cubic
1.0
4.417 0.000 0.000
0.000 4.417 0.000
0.000 0.000 4.417
Ba Ti O
1 3 1
Cartesian
0.000 0.000 0.000
0.000 2.208 2.208
2.208 0.000 2.208
2.208 2.208 0.000
2.208 2.208 2.208


Question: Number 1 is which compound?
Answer: BaTi3O


Question: What is the total DFT energy (no corrections) in the second record?
Answer: -1.61 eV/atom


Question: Among the records above, which one has the highest total DFT energy (no corrections)?
Answer: K2ScBeCd